Here is Nd7YHo5 after structural relaxation from the Alexandria database. Energies are from PBE.

Calculated values
M_tot in μB/f.u.: 0.00
Formation enthalpy at 0 K in meV/atom: 223
Density of states at the Fermi level in states/eV/atom: 1.724
DFT total energy in eV per atom: -4.6018

Cell: 6.7310 11.4083 11.7241 Å, 90.00 90.00 90.00°
Space group Imm2 (No. 44)
Symmetry-distinct sites (fractional):
Nd 0.0000 0.0000 0.0000 (multiplicity 2)
Nd 0.0000 0.0000 0.3102 (multiplicity 2)
Nd 0.0000 0.3269 0.2502 (multiplicity 4)
Nd 0.0000 0.3271 0.7548 (multiplicity 4)
Nd 0.0000 0.5000 0.4992 (multiplicity 2)
Y 0.0000 0.0000 0.6879 (multiplicity 2)
Ho 0.0000 0.5000 0.0041 (multiplicity 2)
Ho 0.2337 0.2303 0.5040 (multiplicity 8)

---

Here is Nd5Y3Ho after structural relaxation from the Alexandria database. Energies are from PBE.

Calculated values
M_tot in μB/f.u.: 0.00
Formation enthalpy at 0 K in meV/atom: 407
Density of states at the Fermi level in states/eV/atom: 1.428
ΔE to the lowest computed polymorph in meV per atom: 135
DFT total energy in eV per atom: -4.9051

Cell: 16.9910 8.2791 12.5396 Å, 90.00 131.81 90.00°
Space group C2/m (No. 12)
Symmetry-distinct sites (fractional):
Nd 0.0000 0.1836 0.0000 (multiplicity 4)
Nd 0.0636 0.3008 0.7752 (multiplicity 8)
Nd 0.1366 0.5000 0.5752 (multiplicity 4)
Nd 0.1926 0.0000 0.0585 (multiplicity 4)
Y 0.0000 0.0000 0.5000 (multiplicity 2)
Y 0.0000 0.5000 0.0000 (multiplicity 2)
Y 0.1062 0.0000 0.3108 (multiplicity 4)
Y 0.1849 0.5000 0.3431 (multiplicity 4)
Ho 0.2373 0.5000 0.1272 (multiplicity 4)

---

Here is NdY3Ho4 after structural relaxation from the Alexandria database. Energies are from PBE.

Calculated values
M_tot in μB/f.u.: 0.00
Formation enthalpy at 0 K in meV/atom: 7
Density of states at the Fermi level in states/eV/atom: 1.699
ΔE to the lowest computed polymorph in meV per atom: 0
DFT total energy in eV per atom: -5.3020

Cell: 11.2951 7.2948 6.2951 Å, 90.00 90.00 90.00°
Space group Pmn2_1 (No. 31)
Symmetry-distinct sites (fractional):
Nd 0.0000 0.1276 0.0000 (multiplicity 2)
Y 0.0000 0.8729 0.5000 (multiplicity 2)
Y 0.2501 0.1273 0.3364 (multiplicity 4)
Ho 0.0000 0.3774 0.5045 (multiplicity 2)
Ho 0.0000 0.6224 0.0035 (multiplicity 2)
Ho 0.2487 0.6228 0.3353 (multiplicity 4)

---

Here is NdYHo after structural relaxation from the Alexandria database. Energies are from PBE.

Calculated values
M_tot in μB/f.u.: 0.00
Formation enthalpy at 0 K in meV/atom: 63
Density of states at the Fermi level in states/eV/atom: 1.875
ΔE to the lowest computed polymorph in meV per atom: 67
DFT total energy in eV per atom: -5.2072

Cell: 5.6587 5.6587 3.5405 Å, 90.00 90.00 120.00°
Space group P-6m2 (No. 187)
Symmetry-distinct sites (fractional):
Nd 0.0000 0.0000 0.0000 (multiplicity 1)
Y 0.6667 0.3333 0.5000 (multiplicity 1)
Ho 0.3333 0.6667 0.0000 (multiplicity 1)